Here is a relaxed structure of LaErPt4 from Alexandria via LeMat-Bulk. Energies are from PBE-GGA.

Results
volume	468	Å³ per cell
total magnetization	0.0	μB per formula unit
DFT total energy	-161.1	eV/cell
calculated density	15.4	Mg/m³

Structure (CIF):
```
data_LaErPt4
_chemical_formula_sum 'La4 Er4 Pt16'
_cell_length_a 7.7630
_cell_length_b 7.7630
_cell_length_c 7.7630
_cell_angle_alpha 90.00
_cell_angle_beta 90.00
_cell_angle_gamma 90.00
_space_group_name_H-M_alt 'F -4 3 m'
_space_group_IT_number 216
_space_group_name_Hall 'F -4 2 3'
loop_
_atom_site_label
_atom_site_type_symbol
_atom_site_fract_x
_atom_site_fract_y
_atom_site_fract_z
_atom_site_occupancy
La1 La 0.0000 0.0000 0.0000 1
Er1 Er 0.2500 0.2500 0.2500 1
Pt1 Pt 0.1245 0.1245 0.6245 1
```